[1]
! SrNdZrCrO6 | Alexandria | PBE with a Hubbard U | optimized geometry; values from VASP
! total energy: -8.07 eV/atom
! V: 131.9 Å³ per cell
! symmetry: F-43m (216)
&SYSTEM
  ibrav = 0, nat = 10, ntyp = 5
/
ATOMIC_SPECIES
Sr 87.62 Sr.upf
Nd 144.24 Nd.upf
Zr 91.22 Zr.upf
Cr 52.00 Cr.upf
O 16.00 O.upf
ATOMIC_POSITIONS angstrom
Sr 0.0000 0.0000 0.0000
Nd 4.0400 4.0400 4.0400
Zr 6.0601 6.0601 6.0601
Cr 2.0200 2.0200 2.0200
O 2.0200 2.0200 0.0490
O 2.0200 0.0490 2.0200
O 3.9911 2.0200 2.0200
O 0.0490 2.0200 2.0200
O 2.0200 3.9911 2.0200
O 2.0200 2.0200 3.9911
CELL_PARAMETERS angstrom
0.0000 4.0400 4.0400
4.0400 0.0000 4.0400
4.0400 4.0400 0.0000

=====

[2]
! NdTaCrO6 | Alexandria | PBE with a Hubbard U | optimized geometry; values from VASP
! total energy: -8.48 eV/atom
! V: 231.7 Å³ per cell
! symmetry: P4_2nm (102)
&SYSTEM
  ibrav = 0, nat = 18, ntyp = 4
/
ATOMIC_SPECIES
Nd 144.24 Nd.upf
Ta 180.95 Ta.upf
Cr 52.00 Cr.upf
O 16.00 O.upf
ATOMIC_POSITIONS angstrom
Nd 0.0000 0.0000 0.0000
Nd 2.4463 2.4463 4.8398
Ta 0.0000 0.0000 3.3013
Ta 2.4463 2.4463 8.1411
Cr 0.0000 0.0000 6.5091
Cr 2.4463 2.4463 1.6693
O 0.8358 0.8358 4.9313
O 1.0592 1.0592 7.8820
O 1.0749 1.0749 1.9226
O 1.3714 3.5213 6.7624
O 1.3872 3.5055 3.0423
O 1.6106 3.2821 0.0915
O 3.2821 1.6106 0.0915
O 3.5055 1.3872 3.0423
O 3.5213 1.3714 6.7624
O 3.8178 3.8178 1.9226
O 3.8335 3.8335 7.8820
O 4.0569 4.0569 4.9313
CELL_PARAMETERS angstrom
4.8927 0.0000 0.0000
0.0000 4.8927 0.0000
0.0000 0.0000 9.6796

=====

[3]
! TbNdCr2O8 | Alexandria | PBE with a Hubbard U | optimized geometry; values from VASP
! total energy: -7.64 eV/atom
! V: 171.7 Å³ per cell
! symmetry: I-4m2 (119)
&SYSTEM
  ibrav = 0, nat = 12, ntyp = 4
/
ATOMIC_SPECIES
Tb 158.93 Tb.upf
Nd 144.24 Nd.upf
Cr 52.00 Cr.upf
O 16.00 O.upf
ATOMIC_POSITIONS angstrom
Tb 0.0000 0.0000 0.0000
Nd 3.6702 0.0000 1.5937
Cr 0.0000 0.0000 3.1875
Cr 0.0000 3.6702 1.5937
O 2.3553 3.6702 -1.1120
O 1.3149 0.0000 2.0755
O 0.0000 2.3144 0.5215
O 3.6702 2.3553 1.1120
O 0.0000 5.0260 0.5215
O 0.0000 1.3149 4.2995
O -1.3558 3.6702 2.6659
O 1.3558 3.6702 2.6659
CELL_PARAMETERS angstrom
-3.6702 3.6702 3.1875
3.6702 -3.6702 3.1875
3.6702 3.6702 -3.1875

=====

[4]
! NdCrTeO6 | Alexandria | PBE with a Hubbard U | optimized geometry; values from VASP
! E above lowest polymorph: 0 meV per atom
! total energy: -7.07 eV/atom
! V: 242.3 Å³ per cell
! symmetry: P-31c (163)
&SYSTEM
  ibrav = 0, nat = 18, ntyp = 4
/
ATOMIC_SPECIES
Nd 144.24 Nd.upf
Cr 52.00 Cr.upf
Te 127.60 Te.upf
O 16.00 O.upf
ATOMIC_POSITIONS angstrom
Nd 0.0000 0.0000 0.0000
Nd 0.0000 0.0000 5.1184
Cr 0.0000 3.0182 2.5592
Cr 2.6138 1.5091 7.6776
Te 0.0000 3.0182 7.6776
Te 2.6138 1.5091 2.5592
O -0.9209 1.6842 6.5841
O -1.6157 2.8877 8.7711
O 0.9209 1.6842 8.7711
O -0.6949 4.4827 6.5841
O 1.9190 0.0446 1.4657
O 0.9981 1.6396 3.6527
O 1.6157 2.8877 6.5841
O 0.6949 4.4827 8.7711
O 3.3087 0.0446 3.6527
O 1.6929 2.8431 1.4657
O 4.2295 1.6396 1.4657
O 3.5347 2.8431 3.6527
CELL_PARAMETERS angstrom
5.2276 0.0000 0.0000
-2.6138 4.5273 0.0000
0.0000 0.0000 10.2368

=====

[5]
! NdCrTeO6 | Alexandria | PBE with a Hubbard U | optimized geometry; values from VASP
! E above lowest polymorph: 325 meV per atom
! total energy: -6.75 eV/atom
! V: 226.3 Å³ per cell
! symmetry: P-31c (163)
&SYSTEM
  ibrav = 0, nat = 18, ntyp = 4
/
ATOMIC_SPECIES
Nd 144.24 Nd.upf
Cr 52.00 Cr.upf
Te 127.60 Te.upf
O 16.00 O.upf
ATOMIC_POSITIONS angstrom
Nd 0.0000 3.2008 2.1255
Nd 2.7720 1.6004 6.3765
Cr 0.0000 0.0000 0.0000
Cr 0.0000 0.0000 4.2510
Te 0.0000 3.2008 6.3765
Te 2.7720 1.6004 2.1255
O -0.6767 1.7168 7.4827
O -1.6235 3.3568 5.2703
O 0.6767 1.7168 5.2703
O -0.9469 4.5288 7.4827
O 1.8251 0.2724 3.2317
O 1.1484 1.4444 1.0193
O 1.6235 3.3568 7.4827
O 0.9469 4.5288 5.2703
O 3.7188 0.2724 1.0193
O 2.0953 3.0844 3.2317
O 4.3955 1.4444 3.2317
O 3.4486 3.0844 1.0193
CELL_PARAMETERS angstrom
5.5439 0.0000 0.0000
-2.7720 4.8012 0.0000
0.0000 0.0000 8.5020

=====

[6]
! Nd2TiCrO6 | Alexandria | PBE with a Hubbard U | optimized geometry; values from VASP
! total energy: -8.29 eV/atom
! V: 122.9 Å³ per cell
! symmetry: P4mm (99)
&SYSTEM
  ibrav = 0, nat = 10, ntyp = 4
/
ATOMIC_SPECIES
Nd 144.24 Nd.upf
Ti 47.87 Ti.upf
Cr 52.00 Cr.upf
O 16.00 O.upf
ATOMIC_POSITIONS angstrom
Nd 0.0000 2.7704 0.0000
Nd 2.7704 0.0000 0.0000
Ti 0.0000 0.0000 2.2404
Cr 2.7704 2.7704 2.2787
O 0.0000 0.0000 0.2941
O 1.3828 1.3828 2.3937
O 1.3828 4.1579 2.3937
O 2.7704 2.7704 0.3016
O 4.1579 1.3828 2.3937
O 4.1579 4.1579 2.3937
CELL_PARAMETERS angstrom
5.5407 0.0000 0.0000
0.0000 5.5407 0.0000
0.0000 0.0000 4.0024

=====

[7]
! NdTmCr2O8 | Alexandria | PBE with a Hubbard U | optimized geometry; values from VASP
! total energy: -7.63 eV/atom
! V: 168.1 Å³ per cell
! symmetry: I-4m2 (119)
&SYSTEM
  ibrav = 0, nat = 12, ntyp = 4
/
ATOMIC_SPECIES
Nd 144.24 Nd.upf
Tm 168.93 Tm.upf
Cr 52.00 Cr.upf
O 16.00 O.upf
ATOMIC_POSITIONS angstrom
Nd 0.0000 0.0000 0.0000
Tm 0.0000 3.6433 1.5829
Cr 3.6433 0.0000 1.5829
Cr 0.0000 0.0000 3.1657
O 2.3442 0.0000 0.4556
O 4.9424 0.0000 0.4556
O 3.6433 2.2780 -1.0630
O 3.6433 -1.2991 2.7102
O 0.0000 1.3653 2.1027
O 3.6433 1.2991 2.7102
O 2.2780 3.6433 1.0630
O 1.3653 0.0000 4.2287
CELL_PARAMETERS angstrom
-3.6433 3.6433 3.1657
3.6433 -3.6433 3.1657
3.6433 3.6433 -3.1657

=====

[8]
! NdUCr2O8 | Alexandria | PBE with a Hubbard U | optimized geometry; values from VASP
! total energy: -8.33 eV/atom
! V: 168.3 Å³ per cell
! symmetry: C2/m (12)
&SYSTEM
  ibrav = 0, nat = 12, ntyp = 4
/
ATOMIC_SPECIES
Nd 144.24 Nd.upf
U 238.03 U.upf
Cr 52.00 Cr.upf
O 16.00 O.upf
ATOMIC_POSITIONS angstrom
Nd 0.0000 0.0000 0.0000
U -0.4913 0.0000 3.5602
Cr 2.5847 0.0000 5.6227
Cr 3.7479 0.0000 1.4977
O 2.8923 1.8487 5.2236
O 3.4403 1.8487 1.8968
O 1.4159 0.0000 3.9837
O 1.4473 0.0000 7.1086
O 4.8853 0.0000 0.0117
O 4.9167 0.0000 3.1367
O 2.8923 -1.8487 5.2236
O 3.4403 -1.8487 1.8968
CELL_PARAMETERS angstrom
3.6576 -3.2315 0.0000
3.6576 3.2315 0.0000
-0.9827 0.0000 7.1204